Entry from Alexandria: Y3AlGe after structural relaxation (PBE).

Cell: 5.3826 5.3826 5.3826 Å, 90.00 90.00 90.00°
Atoms (fractional coordinates):
Y: 0.0000 0.0000 0.5000
Y: 0.0000 0.5000 0.0000
Y: 0.5000 0.0000 0.0000
Al: 0.5000 0.5000 0.5000
Ge: 0.0000 0.0000 0.0000

Values from the calculation:
Energy above the lowest structure with this stoichiometry, meV per atom: 305.5
Symmetry: Pm-3m, No. 221
E_form, kJ/mol of formula units: -82